# 1
A relaxed structure of ZnSi2Ni8. Source: the Alexandria database, functional PBE.

Size of the total moment, μB/f.u.: 0.000
Offset from the most stable computed form, meV per atom: 0
Uncorrected formation energy, eV/atom: -0.34

a = 3.7014 Å, b = 6.2744 Å, c = 10.7796 Å
α = 90.00°, β = 90.00°, γ = 90.00°
Space group Immm (No. 71)
Inequivalent atoms, fractional coordinates:
Zn 0.0000 0.0000 0.0000 (multiplicity 2)
Si 0.0000 0.0000 0.3096 (multiplicity 4)
Ni 0.0000 0.1968 0.5000 (multiplicity 4)
Ni 0.0000 0.2803 0.1617 (multiplicity 8)
Ni 0.0000 0.5000 0.3489 (multiplicity 4)



# 2
A relaxed structure of Ce2TaN3. Source: the Alexandria database, functional PBE.

Size of the total moment, μB/f.u.: 0.749
Offset from the most stable computed form, meV per atom: 51
Uncorrected formation energy, eV/atom: -1.31

a = 5.4362 Å, b = 10.9661 Å, c = 12.4941 Å
α = 90.00°, β = 95.33°, γ = 90.00°
Space group C2/c (No. 15)
Inequivalent atoms, fractional coordinates:
Ce 0.2149 0.2007 0.3624 (multiplicity 8)
Ce 0.2266 0.1090 0.9282 (multiplicity 8)
Ta 0.2041 0.4938 0.8291 (multiplicity 8)
N 0.0000 0.0162 0.2500 (multiplicity 4)
N 0.0000 0.3603 0.2500 (multiplicity 4)
N 0.1984 0.3198 0.8857 (multiplicity 8)
N 0.2415 0.0999 0.5369 (multiplicity 8)



# 3
A relaxed structure of Pm12Sm5Ho2. Source: the Alexandria database, functional PBE.

Size of the total moment, μB/f.u.: 0.000
Offset from the most stable computed form, meV per atom: 0
Energy of formation, eV per atom: 0.116

a = 15.9421 Å, b = 9.3146 Å, c = 8.8110 Å
α = 90.00°, β = 92.82°, γ = 90.00°
Space group C2/m (No. 12)
Inequivalent atoms, fractional coordinates:
Pm 0.0575 0.0000 0.3427 (multiplicity 4)
Pm 0.0734 0.5000 0.8791 (multiplicity 4)
Pm 0.1308 0.1959 0.6816 (multiplicity 8)
Pm 0.1480 0.3191 0.2386 (multiplicity 8)
Sm 0.0000 0.5000 0.5000 (multiplicity 2)
Sm 0.2069 0.0000 0.0314 (multiplicity 4)
Sm 0.2318 0.5000 0.5677 (multiplicity 4)
Ho 0.0000 0.1703 0.0000 (multiplicity 4)